Entry 1:
Y2PuNi, optimized geometry, DFT GGA-PBE; electronic total energy = -8.343 eV/atom; M_tot = 6.8 μB per formula unit; formation energy from the elements = -8.0 kJ/mol of atoms
1.0
3.421 0.000 0.000
0.000 3.421 0.000
0.000 0.000 8.570
Ni Y Pu
1 2 1
Direct
0.500 0.500 0.000
0.000 0.000 0.809
0.000 0.000 0.191
0.500 0.500 0.500

Entry 2:
K2LaBr, optimized geometry, DFT GGA-PBE; electronic total energy = -2.756 eV/atom; M_tot = 0.0 μB per formula unit; ΔE_f (raw) = -0.557 eV per atom
1.0
-6.449 -10.257 -2.042
-3.706 -10.592 -5.005
-2.823 -11.891 -1.270
K Br La
2 1 1
Direct
0.478 0.478 0.478
0.022 0.022 0.022
0.750 0.750 0.750
0.250 0.250 0.250

Entry 3:
Ce2HoTl9, optimized geometry, DFT GGA-PBE; electronic total energy = -3.378 eV/atom; M_tot = 2.0 μB per formula unit; formation energy from the elements = -22.5 kJ/mol of atoms
1.0
4.810 0.000 0.000
0.000 4.810 0.000
0.000 0.000 14.399
Tl Ce Ho
9 2 1
Direct
0.500 0.500 0.333
0.500 0.000 0.163
0.000 0.500 0.163
0.500 0.000 0.500
0.000 0.500 0.837
0.000 0.500 0.500
0.500 0.500 0.667
0.500 0.000 0.837
0.500 0.500 0.000
0.000 0.000 0.669
0.000 0.000 0.331
0.000 0.000 0.000

Entry 4:
ZrAl2Co, optimized geometry, DFT GGA-PBE; electronic total energy = -6.036 eV/atom; M_tot = 0.7 μB per formula unit; formation energy from the elements = -24.2 kJ/mol of atoms
1.0
-3.612 1.329 -1.397
-1.120 -0.062 2.837
0.974 4.886 2.132
Al Co Zr
2 1 1
Direct
0.500 0.440 0.245
0.000 0.039 0.046
0.000 0.313 0.499
0.500 0.708 0.709

Number 1 is which compound?
Y2PuNi

Which formula does entry 3 have?
Ce2HoTl9